No. 1
First-principles (GGA-PBE) data for crystalline HoScPd4 at its relaxed geometry, as listed in the Alexandria database.

abc: 3.9909 6.6935 16.6360
angles: 90.00 90.00 90.00
Sites, in units of the cell vectors:
Ho  0.7500  0.8237  0.7895
Ho  0.2500  0.1763  0.2105
Ho  0.2500  0.6763  0.2895
Ho  0.7500  0.3237  0.7105
Sc  0.7500  0.1910  0.4748
Sc  0.2500  0.8090  0.5252
Sc  0.2500  0.3090  0.9748
Sc  0.7500  0.6910  0.0252
Pd  0.7500  0.9431  0.6256
Pd  0.2500  0.0569  0.3744
Pd  0.2500  0.5569  0.1256
Pd  0.7500  0.4431  0.8744
Pd  0.7500  0.7664  0.4102
Pd  0.2500  0.2336  0.5898
Pd  0.2500  0.7336  0.9102
Pd  0.7500  0.2664  0.0898
Pd  0.7500  0.0407  0.9397
Pd  0.2500  0.9593  0.0603
Pd  0.2500  0.4593  0.4397
Pd  0.7500  0.5407  0.5603
Pd  0.7500  0.8576  0.1778
Pd  0.2500  0.1424  0.8222
Pd  0.2500  0.6424  0.6778
Pd  0.7500  0.3576  0.3222

Output
- Energy relative to the lowest polymorph listed for this composition: 0.000 eV/atom
- VASP energy: -6.049 eV per atom
- N(E_F): 0.4734 states/eV/atom
- M_tot: 0.00 μB/cell
- Calculated formation energy: -4.6 eV per formula unit

---

No. 2
First-principles (GGA-PBE) data for crystalline Ti4Ni3Pd3 at its relaxed geometry, as listed in the Alexandria database.

abc: 7.2964 7.2964 7.2964
angles: 109.47 109.47 109.47
Sites, in units of the cell vectors:
Ti  0.0000  0.0000  0.2784
Ti  0.5000  0.2784  0.5000
Ti  0.7216  0.2216  0.2216
Ti  0.0000  0.0000  0.7784
Ti  0.7784  0.5000  0.0000
Ti  0.5000  0.7784  0.5000
Ti  0.2784  0.5000  0.0000
Ti  0.2216  0.7216  0.7216
Ni  0.1250  0.7500  0.3750
Ni  0.3750  0.2500  0.1250
Ni  0.6250  0.8750  0.2500
Ni  0.8750  0.6250  0.7500
Ni  0.2500  0.3750  0.6250
Ni  0.7500  0.1250  0.8750
Pd  0.6250  0.7500  0.8750
Pd  0.8750  0.2500  0.6250
Pd  0.1250  0.3750  0.2500
Pd  0.3750  0.1250  0.7500
Pd  0.2500  0.8750  0.1250
Pd  0.7500  0.6250  0.3750

Output
- VASP energy: -6.740 eV per atom
- N(E_F): 1.1045 states/eV/atom
- M_tot: 0.00 μB/cell
- Calculated formation energy: -2.9 eV per formula unit